(1)
Below is BaCrCd4 after structural relaxation, with properties calculated at the PBE level.

Unit cell a=6.0251 b=6.0251 c=6.0251 alpha=60.00 beta=60.00 gamma=60.00
Sites, in units of the cell vectors:
Ba 0.0000 0.0000 0.0000
Cr 0.2500 0.2500 0.2500
Cd 0.1285 0.6238 0.6238
Cd 0.6238 0.1285 0.6238
Cd 0.6238 0.6238 0.1285
Cd 0.6238 0.6238 0.6238

## Properties
**Symmetry**: F-43m, No. 216
**ΔH_f (0 K)**: 95 meV per atom

***

(2)
Below is HfTlRe2 after structural relaxation, with properties calculated at the PBE level.

Unit cell a=6.0448 b=6.0448 c=6.0448 alpha=102.13 beta=102.13 gamma=125.43
Sites, in units of the cell vectors:
Hf 0.0000 0.0000 0.0000
Hf 0.7500 0.2500 0.5000
Tl 0.2500 0.7500 0.5000
Tl 0.5000 0.5000 0.0000
Re 0.1101 0.6250 0.9851
Re 0.3750 0.3601 0.4851
Re 0.6399 0.1250 0.0149
Re 0.8750 0.8899 0.5149

## Properties
**Symmetry**: I-42d, No. 122
**ΔH_f (0 K)**: 1207 meV per atom
**Energy above the most stable polymorph in this dataset**: 612 meV per atom

***

(3)
Below is In2N after structural relaxation, with properties calculated at the PBE level.

Unit cell a=3.4468 b=3.4468 c=5.7809 alpha=109.33 beta=109.33 gamma=59.05
Sites, in units of the cell vectors:
In 0.2397 0.2397 0.2432
In 0.7603 0.7603 0.7568
N 0.0000 0.0000 0.5000

## Properties
**Symmetry**: C2/m, No. 12
**Formation energy from raw total energies**: 8.03 kcal/mol of atoms

***

(4)
Below is Rb2NdAuO4 after structural relaxation, with properties calculated at the PBE level.

Unit cell a=5.9150 b=5.9150 c=5.9150 alpha=112.79 beta=112.79 gamma=103.03
Sites, in units of the cell vectors:
Rb 0.0000 0.0000 0.0000
Rb 0.7500 0.2500 0.5000
Nd 0.5000 0.5000 0.0000
Au 0.2500 0.7500 0.5000
O 0.1572 0.0748 0.6300
O 0.4447 0.5272 0.3700
O 0.4728 0.8428 0.9176
O 0.9252 0.5553 0.0824

## Properties
**Symmetry**: I-4, No. 82
**Formation energy from raw total energies**: -34.97 kcal/mol of atoms

***

(5)
Below is TiCrMo after structural relaxation, with properties calculated at the PBE level.

Unit cell a=4.7477 b=4.7477 c=5.2828 alpha=90.00 beta=90.00 gamma=128.79
Sites, in units of the cell vectors:
Ti 0.2124 0.7876 0.7500
Ti 0.7876 0.2124 0.2500
Cr 0.0889 0.9111 0.2500
Cr 0.9111 0.0889 0.7500
Mo 0.5000 0.5000 0.0000
Mo 0.5000 0.5000 0.5000

## Properties
**Symmetry**: Cmcm, No. 63
**ΔH_f (0 K)**: 238 meV per atom
**Energy above the most stable polymorph in this dataset**: 260 meV per atom

***

(6)
Below is CuOs3Au after structural relaxation, with properties calculated at the PBE level.

Unit cell a=4.4487 b=4.4487 c=4.4487 alpha=90.00 beta=90.00 gamma=90.00
Sites, in units of the cell vectors:
Cu 0.0000 0.0000 0.0000
Os 0.0000 0.0000 0.5000
Os 0.0000 0.5000 0.0000
Os 0.5000 0.0000 0.0000
Au 0.5000 0.5000 0.5000

## Properties
**Symmetry**: Pm-3m, No. 221
**ΔH_f (0 K)**: 2162 meV per atom
**Energy above the most stable polymorph in this dataset**: 0 meV per atom

***

(7)
Below is ZnCuNi6 after structural relaxation, with properties calculated at the PBE level.

Unit cell a=5.0299 b=5.0299 c=4.1225 alpha=90.00 beta=90.00 gamma=120.00
Sites, in units of the cell vectors:
Zn 0.0000 0.0000 0.0000
Cu 0.3333 0.6667 0.5000
Ni 0.3385 0.1693 0.5000
Ni 0.5008 0.0016 0.0000
Ni 0.5008 0.4992 0.0000
Ni 0.8307 0.1693 0.5000
Ni 0.8307 0.6615 0.5000
Ni 0.9984 0.4992 0.0000

## Properties
**Symmetry**: P-6m2, No. 187
**ΔH_f (0 K)**: -30 meV per atom
**Energy above the most stable polymorph in this dataset**: 7 meV per atom

***

(8)
Below is Pm2AlPd4 after structural relaxation, with properties calculated at the PBE level.

Unit cell a=4.9410 b=4.9410 c=7.7619 alpha=112.55 beta=112.55 gamma=68.62
Sites, in units of the cell vectors:
Pm 0.1195 0.1195 0.2897
Pm 0.8805 0.8805 0.7103
Al 0.5000 0.5000 0.0000
Pd 0.0000 0.5000 0.0000
Pd 0.4905 0.4905 0.6666
Pd 0.5000 0.0000 0.0000
Pd 0.5095 0.5095 0.3334

## Properties
**Symmetry**: C2/m, No. 12
**ΔH_f (0 K)**: -713 meV per atom

***

(9)
Below is Na2TlGaO4 after structural relaxation, with properties calculated at the PBE level.

Unit cell a=5.6142 b=3.2312 c=5.7921 alpha=90.00 beta=108.59 gamma=90.00
Sites, in units of the cell vectors:
Na 0.0000 0.0000 0.0000
Na 0.5000 0.5000 0.0000
Tl 0.0000 0.5000 0.5000
Ga 0.5000 0.0000 0.5000
O 0.2737 0.0000 0.7124
O 0.2848 0.5000 0.2934
O 0.7152 0.5000 0.7066
O 0.7263 0.0000 0.2876

## Properties
**Symmetry**: P2/m, No. 10
**Formation energy from raw total energies**: -32.01 kcal/mol of atoms

***

(10)
Below is Dy4Ga after structural relaxation, with properties calculated at the PBE level.

Unit cell a=8.4432 b=8.4432 c=8.4432 alpha=135.25 beta=135.25 gamma=65.15
Sites, in units of the cell vectors:
Dy 0.0661 0.1950 0.3532
Dy 0.2129 0.5661 0.3710
Dy 0.3050 0.1582 0.8710
Dy 0.3418 0.7129 0.1468
Dy 0.6582 0.2871 0.8532
Dy 0.6950 0.8418 0.1290
Dy 0.7871 0.4339 0.6290
Dy 0.9339 0.8050 0.6468
Ga 0.3750 0.1250 0.2500
Ga 0.6250 0.8750 0.7500

## Properties
**Symmetry**: I4_1/a, No. 88
**ΔH_f (0 K)**: -161 meV per atom
**Energy above the most stable polymorph in this dataset**: 0 meV per atom

***

Record order is preserved below.
M_tot: 4.10; 0.01; 0.00; 0.00; 0.00; 2.30; 2.81; 0.00; 0.00; 0.01 μB/f.u.
Record order is preserved below.
DFT total energy: -2.439; -8.097; -4.253; -5.243; -9.212; -6.051; -5.038; -5.572; -4.871; -4.448 eV/atom